The following is a DFT calculation (GGA-PBE) of a relaxed structure of SrNd3Te4.

Cell: 4.5121 7.8941 7.8941 Å, 108.97 90.00 90.00°
Last column: nearest neighbours and their distance in Å.
Fractional positions:
Sr: 0.5000 0.0000 0.0000  6 Te 3.24-3.25
Nd: 0.0000 0.0000 0.5000  6 Te 3.21-3.22
Nd: 0.5000 0.5000 0.5000  6 Te 3.19
Nd: 0.0000 0.5000 0.0000  6 Te 3.21-3.22
Te: 0.0000 0.2547 0.2547  4 Nd 3.19-3.21, 2 Sr 3.25
Te: 0.5000 0.7481 0.2519  5 Nd 3.19-3.22, 1 Sr 3.24
Te: 0.0000 0.7453 0.7453  4 Nd 3.19-3.21, 2 Sr 3.25
Te: 0.5000 0.2519 0.7481  5 Nd 3.19-3.22, 1 Sr 3.24

The total magnetization is 0.0 Bohr magnetons per cell. As for the crystal system: orthorhombic. As for the formation energy (no corrections): -1.481 eV per atom.

---

The following is a DFT calculation (GGA-PBE) of a relaxed structure of SrNdTe2.

Cell: 3.9595 3.9595 8.0109 Å, 90.00 90.00 90.00°
Last column: nearest neighbours and their distance in Å.
Fractional positions:
Sr: 0.5000 0.5000 0.5000  8 Te 3.51
Te: 0.0000 0.0000 0.7634  4 Nd 3.38, 4 Sr 3.51
Te: 0.0000 0.0000 0.2366  4 Nd 3.38, 4 Sr 3.51
Nd: 0.5000 0.5000 0.0000  8 Te 3.38

The total magnetization is 0.0 Bohr magnetons per cell. As for the crystal system: tetragonal. As for the formation energy (no corrections): -1.390 eV per atom. Its energy above the most stable polymorph in this dataset is 0.1651 eV per atom.

---

The following is a DFT calculation (GGA-PBE) of a relaxed structure of Sr2NdTe3.

Cell: 4.6218 6.5711 8.0713 Å, 114.02 106.64 90.00°
Last column: nearest neighbours and their distance in Å.
Fractional positions:
Sr: 0.8312 0.8312 0.1624  6 Te 3.29-3.32
Sr: 0.1688 0.1688 0.8376  6 Te 3.29-3.32
Nd: 0.5000 0.5000 0.5000  6 Te 3.22-3.29
Te: 0.8395 0.3395 0.1790  2 Nd 3.22, 4 Sr 3.29-3.32
Te: 0.1605 0.6605 0.8210  2 Nd 3.22, 4 Sr 3.29-3.32
Te: 0.5000 0.0000 0.5000  2 Nd 3.29, 4 Sr 3.31

The total magnetization is 0.0 Bohr magnetons per cell. As for the crystal system: orthorhombic. As for the formation energy (no corrections): -1.601 eV per atom. Its energy above the most stable polymorph in this dataset is 0.0054 eV per atom.

---

The following is a DFT calculation (GGA-PBE) of a relaxed structure of SrNdTe2.

Cell: 4.5111 4.5111 15.7655 Å, 90.00 90.00 120.00°
Last column: nearest neighbours and their distance in Å.
Fractional positions:
Sr: 0.6667 0.3333 0.2500  6 Te 3.33
Sr: 0.3333 0.6667 0.7500  6 Te 3.33
Nd: 0.0000 0.0000 0.5000  6 Te 3.21
Nd: 0.0000 0.0000 0.0000  6 Te 3.21
Te: 0.3333 0.6667 0.3814  3 Nd 3.21, 3 Sr 3.33
Te: 0.6667 0.3333 0.8814  3 Nd 3.21, 3 Sr 3.33
Te: 0.6667 0.3333 0.6186  3 Nd 3.21, 3 Sr 3.33
Te: 0.3333 0.6667 0.1186  3 Nd 3.21, 3 Sr 3.33

The total magnetization is 0.0 Bohr magnetons per cell. As for the crystal system: hexagonal. As for the formation energy (no corrections): -1.520 eV per atom. Its energy above the most stable polymorph in this dataset is 0.0347 eV per atom.

---

The following is a DFT calculation (GGA-PBE) of a relaxed structure of SrNd4Te5.

Cell: 4.5362 4.5362 16.3818 Å, 97.96 97.96 90.00°
Last column: nearest neighbours and their distance in Å.
Fractional positions:
Sr: 0.0000 0.0000 0.0000  6 Te 3.21-3.26
Nd: 0.3977 0.3977 0.7953  6 Te 3.15-3.29
Nd: 0.7990 0.7990 0.5980  6 Te 3.17-3.21
Nd: 0.2010 0.2010 0.4020  6 Te 3.17-3.21
Nd: 0.6023 0.6023 0.2047  6 Te 3.15-3.29
Te: 0.1015 0.1015 0.2029  5 Nd 3.20-3.21, 1 Sr 3.26
Te: 0.5000 0.5000 0.0000  4 Sr 3.21, 2 Nd 3.29
Te: 0.8985 0.8985 0.7971  5 Nd 3.20-3.21, 1 Sr 3.26
Te: 0.2996 0.2996 0.5993  6 Nd 3.15-3.21
Te: 0.7004 0.7004 0.4007  6 Nd 3.15-3.21

The total magnetization is 0.0 Bohr magnetons per cell. As for the crystal system: tetragonal. As for the formation energy (no corrections): -1.470 eV per atom.

---

The following is a DFT calculation (GGA-PBE) of a relaxed structure of SrNdTe2.

Cell: 4.5580 4.5580 8.1169 Å, 73.69 73.69 60.00°
Last column: nearest neighbours and their distance in Å.
Fractional positions:
Sr: 0.5000 0.5000 0.5000  6 Te 3.30
Nd: 0.0000 0.0000 0.0000  6 Te 3.22
Te: 0.2530 0.2530 0.2411  3 Nd 3.22, 3 Sr 3.30
Te: 0.7470 0.7470 0.7589  3 Nd 3.22, 3 Sr 3.30

The total magnetization is 0.0 Bohr magnetons per cell. As for the crystal system: trigonal. As for the formation energy (no corrections): -1.555 eV per atom. Its energy above the most stable polymorph in this dataset is 0.0000 eV per atom.